Record 1
First-principles (PBE) data for an optimized crystal structure of BeZnW2, as listed in Alexandria via LeMat-Bulk.

a b c (Å): 3.7451 3.7451 4.0262
angles (deg): 90.00 90.00 90.00
With the nearest neighbours (Å) after each atom.
Fractional coordinates of all 4 atoms:
Be: 0.0000 0.0000 0.0000  4 Zn 2.65, 8 W 2.75
Zn: 0.5000 0.5000 0.0000  4 Be 2.65, 8 W 2.75
W: 0.0000 0.5000 0.5000  4 W 2.65, 4 Be 2.75, 4 Zn 2.75
W: 0.5000 0.0000 0.5000  4 W 2.65, 4 Be 2.75, 4 Zn 2.75

Formation energy in eV per atom: 0.3298
Spin magnetization in μB/f.u.: 0.00
DOS at the Fermi energy in states/eV/f.u.: 2.27
E above lowest polymorph in eV per atom: 0.158


Record 2
First-principles (PBE) data for an optimized crystal structure of BeZnW2, as listed in Alexandria via LeMat-Bulk.

a b c (Å): 4.3297 4.3297 4.3297
angles (deg): 60.00 60.00 60.00
With the nearest neighbours (Å) after each atom.
Fractional coordinates of all 4 atoms:
Be: 0.0000 0.0000 0.0000  4 W 2.65, 4 Zn 2.65
Zn: 0.7500 0.7500 0.7500  4 W 2.65, 4 Be 2.65
W: 0.2500 0.2500 0.2500  4 W 2.65, 4 Be 2.65
W: 0.5000 0.5000 0.5000  4 Zn 2.65, 4 W 2.65

Formation energy in eV per atom: 0.4012
Spin magnetization in μB/f.u.: 0.00
DOS at the Fermi energy in states/eV/f.u.: 0.32
E above lowest polymorph in eV per atom: 0.229


Record 3
First-principles (PBE) data for an optimized crystal structure of BeZn2W, as listed in Alexandria via LeMat-Bulk.

a b c (Å): 2.7624 2.7624 6.9254
angles (deg): 90.00 90.00 90.00
With the nearest neighbours (Å) after each atom.
Fractional coordinates of all 4 atoms:
Be: 0.0000 0.0000 0.0000  4 Zn 2.41, 4 W 2.55
Zn: 0.0000 0.0000 0.5272  8 Zn 2.69-2.76, 4 W 2.80
Zn: 0.5000 0.5000 0.7952  4 Be 2.41, 4 Zn 2.69
W: 0.5000 0.5000 0.2373  4 Be 2.55, 4 W 2.76, 4 Zn 2.80

Formation energy in eV per atom: 0.1988
Spin magnetization in μB/f.u.: 0.00
DOS at the Fermi energy in states/eV/f.u.: 0.93


Record 4
First-principles (PBE) data for an optimized crystal structure of BeZn2W, as listed in Alexandria via LeMat-Bulk.

a b c (Å): 2.6516 2.6516 7.8745
angles (deg): 90.00 90.00 99.94
With the nearest neighbours (Å) after each atom.
Fractional coordinates of all 4 atoms:
Be: 0.0000 0.0000 0.0000  4 Zn 2.46-2.69, 4 W 2.49-2.72, 4 Be 2.65
Zn: 0.0000 0.0000 0.4969  8 Zn 2.65-2.95, 4 W 2.75-2.96
Zn: 0.5000 0.5000 0.2245  4 Be 2.46-2.69, 6 Zn 2.65-2.74
W: 0.5000 0.5000 0.7702  4 Be 2.49-2.72, 4 W 2.65, 2 Zn 2.75

Formation energy in eV per atom: 0.1809
Spin magnetization in μB/f.u.: 0.00
DOS at the Fermi energy in states/eV/f.u.: 1.13


Record 5
First-principles (PBE) data for an optimized crystal structure of BeZnW2, as listed in Alexandria via LeMat-Bulk.

a b c (Å): 2.6391 4.1081 5.3726
angles (deg): 90.00 90.00 90.00
With the nearest neighbours (Å) after each atom.
Fractional coordinates of all 4 atoms:
Be: 0.0000 0.0000 0.0000  2 Be 2.64, 6 W 2.65-2.78, 4 Zn 2.75
Zn: 0.5000 0.5000 0.7639  6 W 2.60-2.84, 2 Zn 2.64, 4 Be 2.75
W: 0.0000 0.0000 0.4924  6 W 2.64-2.77, 2 Be 2.65-2.73, 4 Zn 2.84
W: 0.5000 0.5000 0.2481  2 Zn 2.60-2.77, 6 W 2.64-2.77, 4 Be 2.78

Formation energy in eV per atom: 0.4318
Spin magnetization in μB/f.u.: 0.00
DOS at the Fermi energy in states/eV/f.u.: 2.03
E above lowest polymorph in eV per atom: 0.260


Record 6
First-principles (PBE) data for an optimized crystal structure of BeZn4W, as listed in Alexandria via LeMat-Bulk.

a b c (Å): 4.9295 4.9295 4.9295
angles (deg): 60.00 60.00 60.00
With the nearest neighbours (Å) after each atom.
Fractional coordinates of all 6 atoms:
Be: 0.0000 0.0000 0.0000  12 Zn 2.89, 4 W 3.02
Zn: 0.3755 0.3755 0.3755  6 Zn 2.46-2.47
Zn: 0.3755 0.3755 0.8736  6 Zn 2.46-2.47
Zn: 0.3755 0.8736 0.3755  6 Zn 2.46-2.47
Zn: 0.8736 0.3755 0.3755  6 Zn 2.46-2.47
W: 0.7500 0.7500 0.7500  12 Zn 2.89, 4 Be 3.02

Formation energy in eV per atom: 0.5415
Spin magnetization in μB/f.u.: 1.13
DOS at the Fermi energy in states/eV/f.u.: 4.89


Record 7
First-principles (PBE) data for an optimized crystal structure of BeZnW2, as listed in Alexandria via LeMat-Bulk.

a b c (Å): 2.7046 2.7046 7.6308
angles (deg): 90.00 90.00 99.47
With the nearest neighbours (Å) after each atom.
Fractional coordinates of all 4 atoms:
Be: 0.0000 0.0000 0.0000  8 W 2.42-2.66, 4 Be 2.70
Zn: 0.0000 0.0000 0.5000  4 Zn 2.70, 8 W 2.76-2.97
W: 0.5000 0.5000 0.2198  4 Be 2.42-2.66, 4 W 2.70
W: 0.5000 0.5000 0.7802  4 Be 2.42-2.66, 4 W 2.70

Formation energy in eV per atom: 0.2344
Spin magnetization in μB/f.u.: 0.00
DOS at the Fermi energy in states/eV/f.u.: 1.69
E above lowest polymorph in eV per atom: 0.062


Record 8
First-principles (PBE) data for an optimized crystal structure of BeZn2W, as listed in Alexandria via LeMat-Bulk.

a b c (Å): 4.6951 4.6951 4.6951
angles (deg): 133.24 133.24 68.28
With the nearest neighbours (Å) after each atom.
Fractional coordinates of all 4 atoms:
Be: 0.0000 0.0000 0.0000  8 Zn 2.63-2.69, 4 W 2.69
Zn: 0.5000 0.5000 0.0000  4 Be 2.63, 4 W 2.69, 4 Zn 2.69
Zn: 0.7500 0.2500 0.5000  4 W 2.63, 4 Be 2.69, 4 Zn 2.69
W: 0.2500 0.7500 0.5000  8 Zn 2.63-2.69, 4 Be 2.69

Formation energy in eV per atom: 0.4194
Spin magnetization in μB/f.u.: 0.00
DOS at the Fermi energy in states/eV/f.u.: 2.01


Record 9
First-principles (PBE) data for an optimized crystal structure of BeZn2W, as listed in Alexandria via LeMat-Bulk.

a b c (Å): 5.1265 5.1265 5.1265
angles (deg): 149.02 127.80 61.95
With the nearest neighbours (Å) after each atom.
Fractional coordinates of all 4 atoms:
Be: 0.0000 0.0000 0.0000  6 Zn 2.43-2.64, 2 W 2.51
Zn: 0.5143 0.5143 0.0000  4 Zn 2.64-2.74, 4 Be 2.64, 2 W 2.78
Zn: 0.7711 0.2711 0.5000  2 Be 2.43, 2 Zn 2.64, 4 W 2.65
W: 0.2389 0.7389 0.5000  2 Be 2.51, 6 Zn 2.65-2.78, 2 W 2.74

Formation energy in eV per atom: 0.3277
Spin magnetization in μB/f.u.: 0.00
DOS at the Fermi energy in states/eV/f.u.: 1.38


Record 10
First-principles (PBE) data for an optimized crystal structure of BeZn2W, as listed in Alexandria via LeMat-Bulk.

a b c (Å): 4.2378 4.2378 4.2378
angles (deg): 60.00 60.00 60.00
With the nearest neighbours (Å) after each atom.
Fractional coordinates of all 4 atoms:
Be: 0.0000 0.0000 0.0000  4 W 2.60, 4 Zn 2.60
Zn: 0.2500 0.2500 0.2500  4 Be 2.60, 4 Zn 2.60
Zn: 0.5000 0.5000 0.5000  4 W 2.60, 4 Zn 2.60
W: 0.7500 0.7500 0.7500  4 Zn 2.60, 4 Be 2.60

Formation energy in eV per atom: 0.5310
Spin magnetization in μB/f.u.: 1.20
DOS at the Fermi energy in states/eV/f.u.: 2.40


Record 11
First-principles (PBE) data for an optimized crystal structure of BeZnW2, as listed in Alexandria via LeMat-Bulk.

a b c (Å): 2.7096 2.7096 7.4861
angles (deg): 90.00 90.00 90.00
With the nearest neighbours (Å) after each atom.
Fractional coordinates of all 4 atoms:
Be: 0.0000 0.0000 0.0000  8 W 2.52, 4 Be 2.71
Zn: 0.0000 0.0000 0.5000  4 Zn 2.71, 8 W 2.85
W: 0.5000 0.5000 0.2190  4 Be 2.52, 4 W 2.71
W: 0.5000 0.5000 0.7810  4 Be 2.52, 4 W 2.71

Formation energy in eV per atom: 0.2521
Spin magnetization in μB/f.u.: 0.00
DOS at the Fermi energy in states/eV/f.u.: 1.89
E above lowest polymorph in eV per atom: 0.080


Record 12
First-principles (PBE) data for an optimized crystal structure of BeZnW2, as listed in Alexandria via LeMat-Bulk.

a b c (Å): 4.8101 4.8101 4.8101
angles (deg): 134.41 134.41 66.45
With the nearest neighbours (Å) after each atom.
Fractional coordinates of all 4 atoms:
Be: 0.0000 0.0000 0.0000  8 W 2.64-2.74, 4 Zn 2.74
Zn: 0.7500 0.2500 0.5000  8 W 2.64-2.74, 4 Be 2.74
W: 0.2500 0.7500 0.5000  4 Zn 2.64, 4 W 2.74, 4 Be 2.74
W: 0.5000 0.5000 0.0000  4 Be 2.64, 4 Zn 2.74, 4 W 2.74

Formation energy in eV per atom: 0.3223
Spin magnetization in μB/f.u.: 0.00
DOS at the Fermi energy in states/eV/f.u.: 2.18
E above lowest polymorph in eV per atom: 0.150


Record 13
First-principles (PBE) data for an optimized crystal structure of BeZnW2, as listed in Alexandria via LeMat-Bulk.

a b c (Å): 4.8847 4.8847 4.8847
angles (deg): 140.58 129.63 65.77
With the nearest neighbours (Å) after each atom.
Fractional coordinates of all 4 atoms:
Be: 0.0000 0.0000 0.0000  4 W 2.56, 4 Zn 2.65
Zn: 0.5000 0.5000 0.0000  4 Be 2.65, 8 W 2.70-2.86
W: 0.2386 0.7386 0.5000  2 Be 2.56, 4 W 2.66, 4 Zn 2.70-2.86
W: 0.7614 0.2614 0.5000  2 Be 2.56, 4 W 2.66, 4 Zn 2.70-2.86

Formation energy in eV per atom: 0.2827
Spin magnetization in μB/f.u.: 0.00
DOS at the Fermi energy in states/eV/f.u.: 1.45
E above lowest polymorph in eV per atom: 0.111


Record 14
First-principles (PBE) data for an optimized crystal structure of BeZnW2, as listed in Alexandria via LeMat-Bulk.

a b c (Å): 2.7603 4.0872 5.0621
angles (deg): 90.00 100.70 90.00
With the nearest neighbours (Å) after each atom.
Fractional coordinates of all 4 atoms:
Be: 0.0000 0.0000 0.0000  2 Zn 2.38, 1 W 2.55
Zn: 0.9331 0.5000 0.7543  2 Be 2.38
W: 0.3504 0.0000 0.5039  3 Be 2.55-2.85, 4 W 2.63-2.76, 4 Zn 2.76-2.77
W: 0.5768 0.5000 0.2235  4 W 2.63-2.76, 3 Zn 2.68-2.73, 4 Be 2.70-2.71

Formation energy in eV per atom: 0.1720
Spin magnetization in μB/f.u.: 0.00
DOS at the Fermi energy in states/eV/f.u.: 1.20
E above lowest polymorph in eV per atom: 0.000


Record 15
First-principles (PBE) data for an optimized crystal structure of BeZn2W, as listed in Alexandria via LeMat-Bulk.

a b c (Å): 2.6949 4.1728 4.9059
angles (deg): 90.00 103.07 90.00
With the nearest neighbours (Å) after each atom.
Fractional coordinates of all 4 atoms:
Be: 0.0000 0.0000 0.0000  4 Zn 2.46, 2 W 2.52, 2 Be 2.69
Zn: 0.1323 0.5000 0.7605  2 Be 2.46, 5 Zn 2.49-2.71, 2 W 2.75
Zn: 0.8677 0.5000 0.2395  2 Be 2.46, 5 Zn 2.49-2.71, 2 W 2.75
W: 0.5000 0.0000 0.5000  2 Be 2.52, 2 W 2.69, 8 Zn 2.75-2.81

Formation energy in eV per atom: 0.2750
Spin magnetization in μB/f.u.: 0.00
DOS at the Fermi energy in states/eV/f.u.: 1.21


Record 16
First-principles (PBE) data for an optimized crystal structure of BeZnW2, as listed in Alexandria via LeMat-Bulk.

a b c (Å): 2.6632 4.0170 5.3203
angles (deg): 90.00 99.45 90.00
With the nearest neighbours (Å) after each atom.
Fractional coordinates of all 4 atoms:
Be: 0.0000 0.0000 0.0000  8 W 2.58-2.86, 2 Zn 2.66, 2 Be 2.66
Zn: 0.0000 0.0000 0.5000  2 Be 2.66, 2 Zn 2.66, 8 W 2.71-2.85
W: 0.4697 0.5000 0.2361  4 W 2.54-2.79, 2 Be 2.58, 2 Zn 2.71
W: 0.5303 0.5000 0.7639  4 W 2.54-2.79, 2 Be 2.58, 2 Zn 2.71

Formation energy in eV per atom: 0.2783
Spin magnetization in μB/f.u.: 0.00
DOS at the Fermi energy in states/eV/f.u.: 1.42
E above lowest polymorph in eV per atom: 0.106


Record 17
First-principles (PBE) data for an optimized crystal structure of BeZnW, as listed in Alexandria via LeMat-Bulk.

a b c (Å): 4.7586 4.7586 6.1989
angles (deg): 124.09 124.09 41.48
With the nearest neighbours (Å) after each atom.
Fractional coordinates of all 6 atoms:
Be: 0.1315 0.1315 0.1706  1 Be 2.00
Be: 0.8685 0.8685 0.8294  1 Be 2.00
Zn: 0.1672 0.1672 0.5748  3 Be 2.27-2.33, 1 Zn 2.53
Zn: 0.8328 0.8328 0.4252  3 Be 2.27-2.33, 1 Zn 2.53
W: 0.4071 0.4071 0.1386  5 Be 2.42-2.58
W: 0.5929 0.5929 0.8614  5 Be 2.42-2.58

Formation energy in eV per atom: 0.0204
Spin magnetization in μB/f.u.: 0.00
DOS at the Fermi energy in states/eV/f.u.: 0.66
E above lowest polymorph in eV per atom: 0.000


Record 18
First-principles (PBE) data for an optimized crystal structure of BeZnW, as listed in Alexandria via LeMat-Bulk.

a b c (Å): 6.1705 6.0500 2.6485
angles (deg): 80.04 74.95 25.01
With the nearest neighbours (Å) after each atom.
Fractional coordinates of all 3 atoms:
Be: 0.0000 0.0000 0.0000  4 Zn 2.45-2.73, 2 W 2.47, 4 Be 2.65
Zn: 0.3456 0.3456 0.6544  4 Be 2.45-2.73, 4 Zn 2.65
W: 0.6568 0.6568 0.3432  4 Be 2.47-2.75, 4 W 2.65, 2 Zn 2.76

Formation energy in eV per atom: 0.2374
Spin magnetization in μB/f.u.: 0.00
DOS at the Fermi energy in states/eV/f.u.: 0.95
E above lowest polymorph in eV per atom: 0.217


Record 19
First-principles (PBE) data for an optimized crystal structure of BeZn2W, as listed in Alexandria via LeMat-Bulk.

a b c (Å): 4.9986 4.9986 4.9986
angles (deg): 139.05 139.05 59.30
With the nearest neighbours (Å) after each atom.
Fractional coordinates of all 4 atoms:
Be: 0.0000 0.0000 0.0000  4 W 2.47
Zn: 0.2500 0.7500 0.5000  4 Zn 2.47
Zn: 0.7500 0.2500 0.5000  4 Zn 2.47
W: 0.5000 0.5000 0.0000  4 Be 2.47

Formation energy in eV per atom: 0.2910
Spin magnetization in μB/f.u.: 0.00
DOS at the Fermi energy in states/eV/f.u.: 1.16


Record 20
First-principles (PBE) data for an optimized crystal structure of BeZnW2, as listed in Alexandria via LeMat-Bulk.

a b c (Å): 8.8429 8.8429 8.8429
angles (deg): 17.99 17.99 17.99
With the nearest neighbours (Å) after each atom.
Fractional coordinates of all 4 atoms:
Be: 0.0000 0.0000 0.0000  6 W 2.60, 6 Be 2.77
Zn: 0.5000 0.5000 0.5000  6 Zn 2.77, 6 W 2.80
W: 0.2547 0.2547 0.2547  3 Be 2.60, 6 W 2.77, 3 Zn 2.80
W: 0.7453 0.7453 0.7453  3 Be 2.60, 6 W 2.77, 3 Zn 2.80

Formation energy in eV per atom: 0.4101
Spin magnetization in μB/f.u.: 0.00
DOS at the Fermi energy in states/eV/f.u.: 2.03
E above lowest polymorph in eV per atom: 0.238